#P
Density functional theory data (SCAN) for a PBEsol-optimized structure of Te2MoPt.

Cell: 3.4082 3.4082 6.4700 Å, 90.00 90.00 90.00°
Last column: nearest neighbours and their distance in Å.
Fractional positions:
Te (0.0000, 0.0000, 0.2432)  4 Mo 2.88, 4 Pt 2.93, 1 Te 3.15
Te (0.0000, 0.0000, 0.7568)  4 Mo 2.88, 4 Pt 2.93, 1 Te 3.15
Mo (0.5000, 0.5000, 0.0000)  8 Te 2.88
Pt (0.5000, 0.5000, 0.5000)  8 Te 2.93, 2 Mo 3.24

DOS at the Fermi energy, states/eV/f.u.: 1.3

***

#Q
Density functional theory data (SCAN) for a PBEsol-optimized structure of Te2MoPt.

Cell: 3.5157 3.5157 7.0819 Å, 90.00 90.00 90.00°
Last column: nearest neighbours and their distance in Å.
Fractional positions:
Te (0.0000, 0.0000, 0.0000)  1 Mo 2.66, 4 Pt 2.73
Te (0.5000, 0.5000, 0.4420)  4 Mo 2.80, 1 Pt 2.81
Mo (0.0000, 0.0000, 0.6246)  5 Te 2.66-2.80, 4 Pt 2.91
Pt (0.5000, 0.5000, 0.8390)  5 Te 2.73-2.81, 4 Mo 2.91

DOS at the Fermi energy, states/eV/f.u.: 2.7

***

Quick one: least stable of them? #P

***

#P
Density functional theory data (SCAN) for a PBEsol-optimized structure of TlMoPt2.

Cell: 2.8109 4.5701 5.1412 Å, 90.00 90.00 90.00°
Last column: nearest neighbours and their distance in Å.
Fractional positions:
Tl (0.0000, 0.0000, 0.0000)  2 Tl 2.81, 8 Pt 2.84-2.95, 2 Mo 2.91
Mo (0.0000, 0.5000, 0.3490)  8 Pt 2.78-3.08, 2 Mo 2.81, 2 Tl 2.91
Pt (0.5000, 0.0000, 0.4954)  4 Mo 2.79, 4 Pt 2.81-2.82, 4 Tl 2.91-2.95
Pt (0.5000, 0.5000, 0.8159)  4 Mo 2.78-3.08, 4 Pt 2.81-2.82, 4 Tl 2.84

DOS at the Fermi energy, states/eV/f.u.: 1.8

***

#Q
Density functional theory data (SCAN) for a PBEsol-optimized structure of TlMoPt2.

Cell: 2.8653 2.8653 8.2247 Å, 90.00 90.00 90.00°
Last column: nearest neighbours and their distance in Å.
Fractional positions:
Tl (0.0000, 0.0000, 0.0000)  4 Tl 2.87, 8 Pt 3.07
Mo (0.0000, 0.0000, 0.5000)  8 Pt 2.71, 4 Mo 2.87
Pt (0.5000, 0.5000, 0.2807)  4 Mo 2.71, 4 Pt 2.87
Pt (0.5000, 0.5000, 0.7193)  4 Mo 2.71, 4 Pt 2.87

DOS at the Fermi energy, states/eV/f.u.: 2.8

***

Quick one: least stable of them? #P

***

#P
Density functional theory data (SCAN) for a PBEsol-optimized structure of MoPtW2.

Cell: 2.6818 4.5027 5.1709 Å, 90.00 97.79 90.00°
Last column: nearest neighbours and their distance in Å.
Fractional positions:
Mo (0.0000, 0.0000, 0.0000)  4 W 2.66-2.84, 2 Mo 2.68, 4 Pt 2.88-2.90
Pt (0.5712, 0.5000, 0.2384)  5 W 2.64-2.92, 2 Pt 2.68, 4 Mo 2.88-2.90
W (0.2416, 0.5000, 0.7330)  3 Pt 2.64-2.92, 4 W 2.68-2.74, 2 Mo 2.76
W (0.5694, 0.0000, 0.5047)  2 Pt 2.64, 2 Mo 2.66-2.84, 4 W 2.68-2.74

DOS at the Fermi energy, states/eV/f.u.: 2.5

***

#Q
Density functional theory data (SCAN) for a PBEsol-optimized structure of MoPtW2.

Cell: 2.6671 4.4730 5.2267 Å, 90.00 98.60 90.00°
Last column: nearest neighbours and their distance in Å.
Fractional positions:
Mo (0.0000, 0.0000, 0.0000)  2 Mo 2.67, 4 W 2.70, 2 Pt 2.75
Pt (0.5000, 0.0000, 0.5000)  2 Pt 2.67, 2 Mo 2.75, 4 W 2.75
W (0.2301, 0.5000, 0.7539)  4 W 2.67-2.75, 2 Mo 2.70, 2 Pt 2.75
W (0.7699, 0.5000, 0.2461)  4 W 2.67-2.75, 2 Mo 2.70, 2 Pt 2.75

DOS at the Fermi energy, states/eV/f.u.: 2.5

***

Quick one: least stable of them? #Q

***

#P
Density functional theory data (SCAN) for a PBEsol-optimized structure of MoPtW2.

Cell: 4.4443 4.4443 4.4443 Å, 60.00 60.00 60.00°
Last column: nearest neighbours and their distance in Å.
Fractional positions:
Mo (0.0000, 0.0000, 0.0000)  8 W 2.72
Pt (0.5000, 0.5000, 0.5000)  8 W 2.72
W (0.2500, 0.2500, 0.2500)  4 Mo 2.72, 4 Pt 2.72
W (0.7500, 0.7500, 0.7500)  4 Mo 2.72, 4 Pt 2.72

DOS at the Fermi energy, states/eV/f.u.: 5.5

***

#Q
Density functional theory data (SCAN) for a PBEsol-optimized structure of MoPtW2.

Cell: 2.6825 2.6825 8.5768 Å, 90.00 90.00 90.00°
Last column: nearest neighbours and their distance in Å.
Fractional positions:
Mo (0.0000, 0.0000, 0.0000)  4 Mo 2.68, 4 Pt 2.81, 4 W 2.92
Pt (0.5000, 0.5000, 0.2415)  4 Pt 2.68, 4 W 2.79, 4 Mo 2.81
W (0.0000, 0.0000, 0.4808)  8 W 2.68-2.93, 4 Pt 2.79
W (0.5000, 0.5000, 0.7405)  8 W 2.68-2.93, 4 Mo 2.92

DOS at the Fermi energy, states/eV/f.u.: 2.3

***

Quick one: least stable of them? #P

***

#P
Density functional theory data (SCAN) for a PBEsol-optimized structure of Zn2MoPt.

Cell: 2.7319 4.5088 4.7464 Å, 90.00 90.00 90.00°
Last column: nearest neighbours and their distance in Å.
Fractional positions:
Zn (0.0000, 0.0000, 0.0000)  4 Pt 2.64, 6 Zn 2.73-2.74
Zn (0.5000, 0.0000, 0.5000)  4 Mo 2.64, 6 Zn 2.73-2.74
Mo (0.0000, 0.5000, 0.5000)  4 Zn 2.64, 2 Mo 2.73, 4 Pt 2.74
Pt (0.5000, 0.5000, 0.0000)  4 Zn 2.64, 2 Pt 2.73, 4 Mo 2.74

DOS at the Fermi energy, states/eV/f.u.: 2.2

***

#Q
Density functional theory data (SCAN) for a PBEsol-optimized structure of Zn2MoPt.

Cell: 4.7907 4.7907 2.6459 Å, 90.00 90.00 108.72°
Last column: nearest neighbours and their distance in Å.
Fractional positions:
Zn (0.0000, 0.5000, 0.0000)  4 Zn 2.65-2.79, 4 Pt 2.74, 4 Mo 2.74
Zn (0.5000, 0.0000, 0.0000)  4 Zn 2.65-2.79, 4 Pt 2.74, 4 Mo 2.74
Mo (0.0000, 0.0000, 0.5000)  2 Mo 2.65, 8 Zn 2.74, 2 Pt 2.79
Pt (0.5000, 0.5000, 0.5000)  2 Pt 2.65, 8 Zn 2.74, 2 Mo 2.79

DOS at the Fermi energy, states/eV/f.u.: 3.4

***

#R
Density functional theory data (SCAN) for a PBEsol-optimized structure of Zn2MoPt.

Cell: 4.3468 4.3468 4.3468 Å, 60.00 60.00 60.00°
Last column: nearest neighbours and their distance in Å.
Fractional positions:
Zn (0.0000, 0.0000, 0.0000)  4 Mo 2.66, 4 Zn 2.66
Zn (0.2500, 0.2500, 0.2500)  4 Pt 2.66, 4 Zn 2.66
Mo (0.7500, 0.7500, 0.7500)  4 Pt 2.66, 4 Zn 2.66
Pt (0.5000, 0.5000, 0.5000)  4 Mo 2.66, 4 Zn 2.66

DOS at the Fermi energy, states/eV/f.u.: 3.4

***

Quick one: least stable of them? #Q

***

#P
Density functional theory data (SCAN) for a PBEsol-optimized structure of Re2MoRu.

Cell: 4.3544 4.3544 4.3544 Å, 60.00 60.00 60.00°
Last column: nearest neighbours and their distance in Å.
Fractional positions:
Re (0.0000, 0.0000, 0.0000)  4 Ru 2.67, 4 Re 2.67
Re (0.2500, 0.2500, 0.2500)  4 Mo 2.67, 4 Re 2.67
Mo (0.5000, 0.5000, 0.5000)  4 Re 2.67, 4 Ru 2.67
Ru (0.7500, 0.7500, 0.7500)  4 Re 2.67, 4 Mo 2.67

DOS at the Fermi energy, states/eV/f.u.: 5.5

***

#Q
Density functional theory data (SCAN) for a PBEsol-optimized structure of Re2MoRu.

Cell: 2.7128 2.7128 7.8870 Å, 90.00 90.00 90.00°
Last column: nearest neighbours and their distance in Å.
Fractional positions:
Re (0.0000, 0.0000, 0.2388)  4 Ru 2.69, 4 Re 2.71, 4 Mo 2.82
Re (0.0000, 0.0000, 0.7612)  4 Ru 2.69, 4 Re 2.71, 4 Mo 2.82
Mo (0.5000, 0.5000, 0.5000)  4 Mo 2.71, 8 Re 2.82
Ru (0.5000, 0.5000, 0.0000)  8 Re 2.69, 4 Ru 2.71

DOS at the Fermi energy, states/eV/f.u.: 4.1

***

#R
Density functional theory data (SCAN) for a PBEsol-optimized structure of Re2MoRu.

Cell: 9.1792 9.1792 9.1792 Å, 17.08 17.08 17.08°
Last column: nearest neighbours and their distance in Å.
Fractional positions:
Re (0.2474, 0.2474, 0.2474)  3 Ru 2.70, 6 Re 2.73, 3 Mo 2.81
Re (0.7526, 0.7526, 0.7526)  3 Ru 2.70, 6 Re 2.73, 3 Mo 2.81
Mo (0.0000, 0.0000, 0.0000)  6 Mo 2.73, 6 Re 2.81
Ru (0.5000, 0.5000, 0.5000)  6 Re 2.70, 6 Ru 2.73

DOS at the Fermi energy, states/eV/f.u.: 3.8

***

#S
Density functional theory data (SCAN) for a PBEsol-optimized structure of Re2MoRu.

Cell: 2.7338 3.8517 5.5026 Å, 90.00 90.00 90.00°
Last column: nearest neighbours and their distance in Å.
Fractional positions:
Re (0.0000, 0.0000, 0.0000)  2 Ru 2.71-2.80, 6 Re 2.71-2.73, 4 Mo 2.76
Re (0.5000, 0.5000, 0.2432)  6 Re 2.71-2.73, 2 Mo 2.73-2.78, 4 Ru 2.73
Mo (0.5000, 0.5000, 0.7388)  4 Ru 2.72, 6 Re 2.73-2.78, 2 Mo 2.73
Ru (0.0000, 0.0000, 0.4920)  6 Re 2.71-2.80, 4 Mo 2.72, 2 Ru 2.73

DOS at the Fermi energy, states/eV/f.u.: 3.4

***

Quick one: least stable of them? #P